(1)
The following is a DFT calculation (PBE) of crystalline Tl2ZnP at its relaxed geometry.

Calculated values
The calculated formation energy is 0.34 eV/atom. Its symmetry is P2/m. The excess energy over the best structure of this formula in the dataset comes out at 0.3408 eV per atom.

extended XYZ file:
```
4
Lattice="4.097 0.000 0.000 0.000 3.193 -0.093 0.000 1.206 7.423" Properties=species:S:1:pos:R:3 pbc="T T T"
Tl 0.000 1.643 5.452
Tl 0.000 2.757 1.878
Zn 2.049 1.597 -0.046
P 2.049 0.603 3.711
```

=====

(2)
The following is a DFT calculation (PBE) of crystalline Er5Sc3S8 at its relaxed geometry.

Calculated values
The calculation puts the formation energy (no corrections) at -1.91 eV/atom. Its symmetry is R-3m.

extended XYZ file:
```
16
Lattice="-4.941 -3.309 4.753 2.496 -3.321 6.379 -1.474 3.156 6.761" Properties=species:S:1:pos:R:3 pbc="T T T"
Er -2.470 -1.654 2.376
Er -1.222 -3.315 5.566
Er 0.000 0.000 0.000
Er 1.248 -1.660 3.189
Er -1.959 -1.737 8.946
Sc -3.207 -0.077 5.757
Sc -0.737 1.578 3.381
Sc 0.511 -0.082 6.570
S -1.704 0.683 7.798
S -0.436 -1.004 11.040
S -4.215 -0.998 10.214
S -2.931 -2.671 13.382
S -2.214 -4.157 10.094
S -3.483 -2.470 6.852
S 0.297 -2.476 7.679
S -0.988 -0.803 4.510
```

=====

(3)
The following is a DFT calculation (PBE) of crystalline CsZr3Tl at its relaxed geometry.

Calculated values
The calculated formation energy is 1.34 eV/atom. Its symmetry is Pm-3m. The excess energy over the best structure of this formula in the dataset comes out at 0.0000 eV per atom.

extended XYZ file:
```
5
Lattice="5.594 0.000 0.000 0.000 5.594 0.000 0.000 0.000 5.594" Properties=species:S:1:pos:R:3 pbc="T T T"
Cs 2.797 2.797 2.797
Tl 0.000 0.000 0.000
Zr 0.000 2.797 0.000
Zr 0.000 0.000 2.797
Zr 2.797 0.000 0.000
```

=====

(4)
The following is a DFT calculation (PBE) of crystalline Rb3TbSc3Te8 at its relaxed geometry.

Calculated values
The calculation puts the formation energy (no corrections) at -1.22 eV/atom. Its symmetry is C2/m.

extended XYZ file:
```
15
Lattice="8.499 0.000 0.000 -4.250 7.361 -0.029 0.000 -4.873 8.803" Properties=species:S:1:pos:R:3 pbc="T T T"
Rb 0.000 0.000 0.000
Rb -2.125 3.681 -0.014
Rb 2.125 3.681 -0.014
Tb 0.000 -2.436 4.401
Sc 4.250 -2.436 4.401
Sc 2.125 1.244 4.387
Sc -2.125 1.244 4.387
Te 0.000 2.456 2.717
Te 4.250 0.032 6.057
Te 4.250 2.348 2.660
Te 0.000 0.141 6.114
Te 6.271 -1.164 2.677
Te -2.022 3.652 6.097
Te 2.228 -1.164 2.677
Te 2.022 3.652 6.097
```

=====

(5)
The following is a DFT calculation (PBE) of crystalline Pr2DyPaAs5 at its relaxed geometry.

Calculated values
The calculated formation energy is -0.64 eV/atom. Its symmetry is P4/mmm.

extended XYZ file:
```
9
Lattice="5.100 0.000 0.000 0.000 5.100 0.000 0.000 0.000 10.934" Properties=species:S:1:pos:R:3 pbc="T T T"
Pr 2.550 2.550 2.995
Pr 2.550 2.550 7.939
Dy 0.000 0.000 0.000
Pa 0.000 0.000 5.467
As 0.000 2.550 5.467
As 2.550 0.000 5.467
As 0.000 0.000 8.238
As 0.000 0.000 2.696
As 2.550 2.550 0.000
```

=====

(6)
The following is a DFT calculation (PBE) of crystalline UCoSi2 at its relaxed geometry.

Calculated values
The calculation puts the formation energy (no corrections) at -0.13 eV/atom. Its symmetry is R-3m.

extended XYZ file:
```
4
Lattice="2.790 0.000 0.000 1.395 2.416 0.000 1.395 0.805 8.636" Properties=species:S:1:pos:R:3 pbc="T T T"
Co 0.000 0.000 0.000
Si 4.185 2.416 6.872
Si 1.395 0.805 1.764
U 2.790 1.611 4.318
```

=====

(7)
The following is a DFT calculation (PBE) of crystalline CuHgSe2 at its relaxed geometry.

Calculated values
The calculation puts the formation energy (no corrections) at 0.16 eV/atom. Its symmetry is Cmmm.

extended XYZ file:
```
4
Lattice="2.989 0.103 0.000 -0.857 2.866 0.000 0.000 0.000 10.335" Properties=species:S:1:pos:R:3 pbc="T T T"
Cu 1.066 1.484 2.584
Hg 1.066 1.484 7.751
Se 0.000 0.000 0.780
Se 0.000 0.000 4.387
```